First-principles (PBE) data for a geometry-optimized GdTmAu4 structure, as listed in the Open Quantum Materials Database.

Lattice parameters (Å, degrees): 3.725 3.725 9.058 90.00 90.00 90.00
Space group P4/mmm (No. 123)
Asymmetric unit:
Gd (0.000, 0.000, 0.000) x1
Tm (0.500, 0.500, 0.500) x1
Au (0.000, 0.000, 0.339) x2
Au (0.500, 0.500, 0.169) x2

Calculated values
The calculation puts the energy of formation from the pure elements at -868 meV per atom. As for the size of the total moment: 0.00 μB per formula unit.